# 1
The following is a SCAN calculation of MgZn2 at its PBEsol-relaxed geometry, from the Alexandria database.

Structure (CIF):
```
data_MgZn2
_cell_length_a 5.748
_cell_length_b 4.076
_cell_length_c 8.286
_cell_angle_alpha 90.00
_cell_angle_beta 90.00
_cell_angle_gamma 90.00
_space_group_name_H-M_alt 'P 1'
_space_group_IT_number 1
loop_
_space_group_symop_operation_xyz
'x,y,z'
loop_
_atom_site_label
_atom_site_fract_x
_atom_site_fract_y
_atom_site_fract_z
Mg1 0.134 0.250 0.093
Mg2 0.366 0.750 0.593
Mg3 0.634 0.250 0.407
Mg4 0.866 0.750 0.907
Zn1 0.111 0.250 0.744
Zn2 0.125 0.250 0.424
Zn3 0.375 0.750 0.924
Zn4 0.389 0.750 0.244
Zn5 0.611 0.250 0.756
Zn6 0.625 0.250 0.076
Zn7 0.875 0.750 0.576
Zn8 0.889 0.750 0.256
```

Output
- Calculated total energy: -10.74 eV/atom
- Formation enthalpy at 0 K: -0.2 eV/f.u.



# 2
The following is a SCAN calculation of MgZn5 at its PBEsol-relaxed geometry, from the Alexandria database.

Structure (CIF):
```
data_MgZn5
_cell_length_a 2.810
_cell_length_b 2.810
_cell_length_c 11.518
_cell_angle_alpha 90.00
_cell_angle_beta 90.00
_cell_angle_gamma 90.00
_space_group_name_H-M_alt 'P 1'
_space_group_IT_number 1
loop_
_space_group_symop_operation_xyz
'x,y,z'
loop_
_atom_site_label
_atom_site_fract_x
_atom_site_fract_y
_atom_site_fract_z
Mg1 0.000 0.000 0.000
Zn1 0.000 0.000 0.340
Zn2 0.000 0.000 0.660
Zn3 0.500 0.500 0.183
Zn4 0.500 0.500 0.500
Zn5 0.500 0.500 0.817
```

Output
- Calculated total energy: -12.09 eV/atom
- Formation enthalpy at 0 K: 0.0 eV/f.u.



# 3
The following is a SCAN calculation of Mg2ZrZn at its PBEsol-relaxed geometry, from the Alexandria database.

Structure (CIF):
```
data_Mg2ZrZn
_cell_length_a 5.907
_cell_length_b 5.907
_cell_length_c 5.907
_cell_angle_alpha 149.57
_cell_angle_beta 131.13
_cell_angle_gamma 58.66
_space_group_name_H-M_alt 'P 1'
_space_group_IT_number 1
loop_
_space_group_symop_operation_xyz
'x,y,z'
loop_
_atom_site_label
_atom_site_fract_x
_atom_site_fract_y
_atom_site_fract_z
Mg1 0.225 0.225 0.000
Mg2 0.775 0.775 0.000
Zr1 0.500 0.000 0.500
Zn1 0.000 0.500 0.500
```

Output
- Calculated total energy: -13.60 eV/atom
- Formation enthalpy at 0 K: -0.2 eV/f.u.



# 4
The following is a SCAN calculation of Mg2ZrZn at its PBEsol-relaxed geometry, from the Alexandria database.

Structure (CIF):
```
data_Mg2ZrZn
_cell_length_a 4.140
_cell_length_b 4.140
_cell_length_c 4.486
_cell_angle_alpha 90.00
_cell_angle_beta 90.00
_cell_angle_gamma 90.00
_space_group_name_H-M_alt 'P 1'
_space_group_IT_number 1
loop_
_space_group_symop_operation_xyz
'x,y,z'
loop_
_atom_site_label
_atom_site_fract_x
_atom_site_fract_y
_atom_site_fract_z
Mg1 0.000 0.500 0.000
Mg2 0.500 0.000 0.000
Zr1 0.000 0.000 0.500
Zn1 0.500 0.500 0.500
```

Output
- Calculated total energy: -13.65 eV/atom
- Formation enthalpy at 0 K: -0.4 eV/f.u.



# 5
The following is a SCAN calculation of Mg2ZrZn at its PBEsol-relaxed geometry, from the Alexandria database.

Structure (CIF):
```
data_Mg2ZrZn
_cell_length_a 3.104
_cell_length_b 3.104
_cell_length_c 8.177
_cell_angle_alpha 90.00
_cell_angle_beta 90.00
_cell_angle_gamma 90.00
_space_group_name_H-M_alt 'P 1'
_space_group_IT_number 1
loop_
_space_group_symop_operation_xyz
'x,y,z'
loop_
_atom_site_label
_atom_site_fract_x
_atom_site_fract_y
_atom_site_fract_z
Mg1 0.000 0.000 0.000
Mg2 0.500 0.500 0.280
Zr1 0.500 0.500 0.717
Zn1 0.000 0.000 0.495
```

Output
- Calculated total energy: -13.69 eV/atom
- Formation enthalpy at 0 K: -0.6 eV/f.u.



# 6
The following is a SCAN calculation of MgZr8 at its PBEsol-relaxed geometry, from the Alexandria database.

Structure (CIF):
```
data_MgZr8
_cell_length_a 7.158
_cell_length_b 7.158
_cell_length_c 7.158
_cell_angle_alpha 95.09
_cell_angle_beta 95.09
_cell_angle_gamma 145.35
_space_group_name_H-M_alt 'P 1'
_space_group_IT_number 1
loop_
_space_group_symop_operation_xyz
'x,y,z'
loop_
_atom_site_label
_atom_site_fract_x
_atom_site_fract_y
_atom_site_fract_z
Mg1 0.000 0.000 0.000
Zr1 0.000 0.334 0.334
Zr2 0.000 0.666 0.666
Zr3 0.331 0.331 0.662
Zr4 0.331 0.669 0.000
Zr5 0.334 0.000 0.334
Zr6 0.666 0.000 0.666
Zr7 0.669 0.331 0.000
Zr8 0.669 0.669 0.338
```

Output
- Calculated total energy: -27.80 eV/atom
- Formation enthalpy at 0 K: 0.4 eV/f.u.



# 7
The following is a SCAN calculation of Mg3Zr4 at its PBEsol-relaxed geometry, from the Alexandria database.

Structure (CIF):
```
data_Mg3Zr4
_cell_length_a 17.064
_cell_length_b 17.064
_cell_length_c 17.064
_cell_angle_alpha 169.79
_cell_angle_beta 169.79
_cell_angle_gamma 14.46
_space_group_name_H-M_alt 'P 1'
_space_group_IT_number 1
loop_
_space_group_symop_operation_xyz
'x,y,z'
loop_
_atom_site_label
_atom_site_fract_x
_atom_site_fract_y
_atom_site_fract_z
Mg1 0.000 0.000 0.000
Mg2 0.286 0.286 0.000
Mg3 0.714 0.714 0.000
Zr1 0.141 0.141 0.000
Zr2 0.426 0.426 0.000
Zr3 0.574 0.574 0.000
Zr4 0.859 0.859 0.000
```

Output
- Energy relative to the lowest polymorph listed for this composition: 0.0 meV per atom
- Calculated total energy: -19.69 eV/atom
- Formation enthalpy at 0 K: -0.1 eV/f.u.



# 8
The following is a SCAN calculation of MgZr2 at its PBEsol-relaxed geometry, from the Alexandria database.

Structure (CIF):
```
data_MgZr2
_cell_length_a 6.132
_cell_length_b 6.132
_cell_length_c 7.569
_cell_angle_alpha 105.92
_cell_angle_beta 105.92
_cell_angle_gamma 28.77
_space_group_name_H-M_alt 'P 1'
_space_group_IT_number 1
loop_
_space_group_symop_operation_xyz
'x,y,z'
loop_
_atom_site_label
_atom_site_fract_x
_atom_site_fract_y
_atom_site_fract_z
Mg1 0.000 0.000 0.000
Mg2 0.660 0.660 0.324
Zr1 0.277 0.277 0.043
Zr2 0.326 0.326 0.655
Zr3 0.607 0.607 0.719
Zr4 0.933 0.933 0.384
```

Output
- Calculated total energy: -22.05 eV/atom
- Formation enthalpy at 0 K: 0.2 eV/f.u.



Question: formation enthalpy at 0 K of number 4 (Mg2ZrZn)?
Answer: -0.4 eV/f.u.



Question: Which value of formation enthalpy at 0 K does entry 2 give?
Answer: 0.0 eV/f.u.